*P*
Density functional theory data (PBE) for a relaxed structure of LiGe2Au.

**Space-group type**: P4/mmm
**Density of states at the Fermi level**: 1.09 states/eV/f.u.

a b c (Å): 4.067 4.067 4.151
angles (deg): 90.00 90.00 90.00
Sites, in units of the cell vectors:
Li: 0.000 0.000 0.000
Ge: 0.000 0.500 0.500
Ge: 0.500 0.000 0.500
Au: 0.500 0.500 0.000

***

*Q*
Density functional theory data (PBE) for a relaxed structure of LiGe2Au.

**Space-group type**: I-42d
**Density of states at the Fermi level**: 1.64 states/eV/f.u.

a b c (Å): 7.847 7.847 5.189
angles (deg): 90.00 90.00 90.00
Sites, in units of the cell vectors:
Li: 0.000 0.000 0.000
Li: 0.000 0.500 0.250
Li: 0.500 0.000 0.750
Li: 0.500 0.500 0.500
Ge: 0.204 0.750 0.625
Ge: 0.250 0.204 0.375
Ge: 0.250 0.296 0.875
Ge: 0.296 0.750 0.125
Ge: 0.704 0.250 0.125
Ge: 0.750 0.704 0.875
Ge: 0.750 0.796 0.375
Ge: 0.796 0.250 0.625
Au: 0.000 0.000 0.500
Au: 0.000 0.500 0.750
Au: 0.500 0.000 0.250
Au: 0.500 0.500 0.000

***

Short version: *P* is the most stable of them.

***

*P*
Density functional theory data (PBE) for a relaxed structure of Li5GeAu.

**Space-group type**: Cmcm
**Density of states at the Fermi level**: 1.60 states/eV/f.u.

a b c (Å): 4.699 4.699 10.699
angles (deg): 90.00 90.00 77.17
Sites, in units of the cell vectors:
Li: 0.063 0.937 0.750
Li: 0.152 0.451 0.605
Li: 0.152 0.451 0.895
Li: 0.451 0.152 0.105
Li: 0.451 0.152 0.395
Li: 0.549 0.848 0.605
Li: 0.549 0.848 0.895
Li: 0.848 0.549 0.105
Li: 0.848 0.549 0.395
Li: 0.937 0.063 0.250
Ge: 0.000 0.000 0.000
Ge: 0.000 0.000 0.500
Au: 0.379 0.621 0.250
Au: 0.621 0.379 0.750

***

*Q*
Density functional theory data (PBE) for a relaxed structure of Li5GeAu.

**Space-group type**: Cmmm
**Density of states at the Fermi level**: 2.20 states/eV/f.u.

a b c (Å): 6.396 6.452 5.876
angles (deg): 90.00 90.00 90.00
Sites, in units of the cell vectors:
Li: 0.000 0.000 0.000
Li: 0.250 0.250 0.277
Li: 0.250 0.250 0.723
Li: 0.250 0.750 0.277
Li: 0.250 0.750 0.723
Li: 0.500 0.500 0.000
Li: 0.750 0.250 0.277
Li: 0.750 0.250 0.723
Li: 0.750 0.750 0.277
Li: 0.750 0.750 0.723
Ge: 0.000 0.000 0.500
Ge: 0.500 0.500 0.500
Au: 0.000 0.500 0.000
Au: 0.500 0.000 0.000

***

Short version: *P* is the most stable of them.